Li3Pm2Cu12Pd (PBE, optimized geometry); energy of formation = 0.094 eV/atom; crystal system = trigonal
1.0
2.9179 1.6846 9.7188
-2.9179 1.6846 9.7188
0.0000 -3.3693 9.7188
Li Pm Cu Pd
3 2 12 1
direct
0.0000 0.5000 0.5000 Li
0.5000 0.0000 0.5000 Li
0.5000 0.5000 0.0000 Li
0.1430 0.1430 0.1430 Pm
0.8570 0.8570 0.8570 Pm
0.0869 0.0869 0.6821 Cu
0.0869 0.6821 0.0869 Cu
0.1266 0.5829 0.5829 Cu
0.3179 0.9131 0.9131 Cu
0.4171 0.4171 0.8734 Cu
0.4171 0.8734 0.4171 Cu
0.5829 0.1266 0.5829 Cu
0.5829 0.5829 0.1266 Cu
0.6821 0.0869 0.0869 Cu
0.8734 0.4171 0.4171 Cu
0.9131 0.3179 0.9131 Cu
0.9131 0.9131 0.3179 Cu
0.5000 0.5000 0.5000 Pd

***

Ba2TlW (PBE, optimized geometry); energy of formation = 0.876 eV/atom; crystal system = cubic; energy relative to the lowest polymorph listed for this composition = 0.1347 eV/atom
1.0
8.2600 0.0000 0.0000
0.0000 8.2600 0.0000
0.0000 0.0000 8.2600
Ba Tl W
8 4 4
direct
0.2500 0.2500 0.2500 Ba
0.2500 0.2500 0.7500 Ba
0.2500 0.7500 0.2500 Ba
0.2500 0.7500 0.7500 Ba
0.7500 0.2500 0.2500 Ba
0.7500 0.2500 0.7500 Ba
0.7500 0.7500 0.2500 Ba
0.7500 0.7500 0.7500 Ba
0.0000 0.0000 0.0000 Tl
0.0000 0.5000 0.5000 Tl
0.5000 0.0000 0.5000 Tl
0.5000 0.5000 0.0000 Tl
0.0000 0.0000 0.5000 W
0.0000 0.5000 0.0000 W
0.5000 0.0000 0.0000 W
0.5000 0.5000 0.5000 W

***

Question: Look up the energy of formation of the first one.
Answer: 0.094 eV/atom